Record 1
Entry from the Alexandria database: crystalline BeZn2 at its relaxed geometry (PBE).

a = 4.5484 Å, b = 4.5484 Å, c = 4.5484 Å
α = 146.38°, β = 132.87°, γ = 59.13°
Fractional positions:
Be 0.0000 0.0000 0.0000
Zn 0.3396 0.3396 0.0000
Zn 0.6604 0.6604 0.0000

Values from the calculation:
Total magnetic moment, Bohr magnetons per cell: 0.00
Calculated total energy, eV per atom: -1.89

---

Record 2
Entry from the Alexandria database: crystalline SrCa2Er at its relaxed geometry (PBE).

a = 3.8474 Å, b = 3.8474 Å, c = 12.9547 Å
α = 81.46°, β = 81.46°, γ = 60.00°
Last column: magnetic moment on the atom in μB.
Fractional positions:
Sr 0.4998 0.4998 0.5006  0.01
Ca 0.0776 0.0776 0.7673  0.04
Ca 0.2558 0.2558 0.2326  0.05
Er 0.6668 0.6668 0.9995  0.38

Values from the calculation:
Total magnetic moment, Bohr magnetons per cell: 0.99
ΔE to the lowest computed polymorph, eV/atom: 0.014
Calculated total energy, eV per atom: -2.43

---

Record 3
Entry from the Alexandria database: crystalline La2Pm4TmSc at its relaxed geometry (PBE).

a = 5.0920 Å, b = 5.0646 Å, c = 11.4612 Å
α = 63.71°, β = 90.00°, γ = 90.00°
Fractional positions:
La 0.0000 0.0000 0.0000
La 0.5000 0.0000 0.5000
Pm 0.0000 0.7544 0.7461
Pm 0.0000 0.2456 0.2539
Pm 0.5000 0.7465 0.2534
Pm 0.5000 0.2535 0.7466
Tm 0.5000 0.5000 0.0000
Sc 0.0000 0.5000 0.5000

Values from the calculation:
Total magnetic moment, Bohr magnetons per cell: 0.00
Calculated total energy, eV per atom: -4.91

---

Record 4
Entry from the Alexandria database: crystalline La3CeY2Te6 at its relaxed geometry (PBE).

a = 4.4654 Å, b = 9.0590 Å, c = 10.0555 Å
α = 103.14°, β = 102.83°, γ = 90.00°
Last column: magnetic moment on the atom in μB.
Fractional positions:
La 0.5000 0.5000 0.0000  0.02
La 0.8363 0.1673 0.6726  0.03
La 0.1637 0.8327 0.3274  0.03
Ce 0.5000 0.0000 0.0000  0.96
Y 0.8341 0.6688 0.6681  0.01
Y 0.1659 0.3312 0.3319  0.01
Te 0.3328 0.9059 0.6657  0.00
Te 0.6708 0.5742 0.3416  0.00
Te 0.6672 0.0941 0.3343  0.00
Te 0.0049 0.2489 0.0097  -0.01
Te 0.9951 0.7511 0.9903  -0.01
Te 0.3292 0.4258 0.6584  0.00

Values from the calculation:
Total magnetic moment, Bohr magnetons per cell: 1.33
Calculated total energy, eV per atom: -5.84
E_form (uncorrected), eV/atom: -1.466

---

Record 5
Entry from the Alexandria database: crystalline Mg2Ag3 at its relaxed geometry (PBE).

a = 4.5735 Å, b = 4.5735 Å, c = 5.6765 Å
α = 90.00°, β = 90.00°, γ = 120.00°
Fractional positions:
Mg 0.6667 0.3333 0.1708
Mg 0.3333 0.6667 0.8292
Ag 0.0000 0.0000 0.0000
Ag 0.6667 0.3333 0.6561
Ag 0.3333 0.6667 0.3439

Values from the calculation:
Total magnetic moment, Bohr magnetons per cell: 0.00
ΔE to the lowest computed polymorph, eV/atom: 0.192
Calculated total energy, eV per atom: -2.35

---

Record 6
Entry from the Alexandria database: crystalline NdCu2Pt6 at its relaxed geometry (PBE).

a = 7.9783 Å, b = 7.9783 Å, c = 7.9783 Å
α = 60.00°, β = 60.00°, γ = 60.00°
Fractional positions:
Nd 0.5000 0.5000 0.5000
Nd 0.7500 0.7500 0.7500
Cu 0.1250 0.1250 0.1250
Cu 0.1250 0.6250 0.1250
Cu 0.1250 0.1250 0.6250
Cu 0.6250 0.1250 0.1250
Pt 0.2517 0.2517 0.7483
Pt 0.7483 0.7483 0.2517
Pt 0.2517 0.7483 0.2517
Pt 0.2517 0.7483 0.7483
Pt 0.5017 0.5017 0.9983
Pt 0.5017 0.9983 0.9983
Pt 0.7483 0.2517 0.7483
Pt 0.9983 0.9983 0.5017
Pt 0.5017 0.9983 0.5017
Pt 0.9983 0.5017 0.5017
Pt 0.7483 0.2517 0.2517
Pt 0.9983 0.5017 0.9983

Values from the calculation:
Total magnetic moment, Bohr magnetons per cell: 0.00
Calculated total energy, eV per atom: -5.45

---

Record 7
Entry from the Alexandria database: crystalline Li2Mg6Pt at its relaxed geometry (PBE).

a = 4.7423 Å, b = 4.7425 Å, c = 8.8794 Å
α = 90.02°, β = 90.00°, γ = 120.00°
Fractional positions:
Li 0.6663 0.3327 0.7130
Li 0.3337 0.6673 0.2870
Mg 0.3333 0.6665 0.9501
Mg 0.6667 0.3335 0.0499
Mg 0.0003 0.0006 0.1944
Mg 0.6668 0.3336 0.4094
Mg 0.9997 0.9994 0.8056
Mg 0.3332 0.6664 0.5906
Pt 0.0000 0.0000 0.5000

Values from the calculation:
Total magnetic moment, Bohr magnetons per cell: 0.00
Calculated total energy, eV per atom: -2.44

---

Record 8
Entry from the Alexandria database: crystalline HgB2H6 at its relaxed geometry (PBE).

a = 3.8370 Å, b = 4.6280 Å, c = 22.4049 Å
α = 57.96°, β = 69.94°, γ = 122.95°
Fractional positions:
H 0.8508 0.0148 0.3175
H 0.7148 0.4098 0.3575
H 0.2852 0.5902 0.6425
H 0.1492 0.9852 0.6825
H 0.4016 0.2483 0.4809
H 0.5984 0.7517 0.5191
B 0.5322 0.5741 0.5972
B 0.4678 0.4259 0.4028
Hg 0.0000 0.0000 0.0000

Values from the calculation:
Total magnetic moment, Bohr magnetons per cell: 0.00
ΔE to the lowest computed polymorph, eV/atom: 0.000
Calculated total energy, eV per atom: -3.79

---

Record 9
Entry from the Alexandria database: crystalline BiPbBrO2 at its relaxed geometry (PBE).

a = 4.1546 Å, b = 7.3585 Å, c = 8.0135 Å
α = 105.51°, β = 90.00°, γ = 90.00°
Fractional positions:
Bi 0.2500 0.6603 0.4103
Bi 0.7500 0.3397 0.5897
Pb 0.2500 0.6821 0.9316
Pb 0.7500 0.3179 0.0684
Br 0.2500 0.0662 0.7515
Br 0.7500 0.9338 0.2485
O 0.7500 0.5195 0.3980
O 0.2500 0.4805 0.6020
O 0.7500 0.5039 0.8618
O 0.2500 0.4961 0.1382

Values from the calculation:
Total magnetic moment, Bohr magnetons per cell: 0.00
Calculated total energy, eV per atom: -5.03
E_form (uncorrected), eV/atom: -1.193

---

Record 10
Entry from the Alexandria database: crystalline NaTh3Tl12 at its relaxed geometry (PBE).

a = 4.7972 Å, b = 4.7972 Å, c = 19.6974 Å
α = 90.00°, β = 90.00°, γ = 90.00°
Fractional positions:
Na 0.0000 0.0000 0.0000
Th 0.0000 0.0000 0.2559
Th 0.0000 0.0000 0.5000
Th 0.0000 0.0000 0.7441
Tl 0.5000 0.5000 0.0000
Tl 0.5000 0.5000 0.2489
Tl 0.5000 0.5000 0.5000
Tl 0.5000 0.5000 0.7511
Tl 0.5000 0.0000 0.1248
Tl 0.5000 0.0000 0.3757
Tl 0.5000 0.0000 0.6243
Tl 0.5000 0.0000 0.8752
Tl 0.0000 0.5000 0.1248
Tl 0.0000 0.5000 0.3757
Tl 0.0000 0.5000 0.6243
Tl 0.0000 0.5000 0.8752

Values from the calculation:
Total magnetic moment, Bohr magnetons per cell: 0.00
Calculated total energy, eV per atom: -3.36

---

Record 11
Entry from the Alexandria database: crystalline AlCr2Pt at its relaxed geometry (PBE).

a = 4.2557 Å, b = 3.5334 Å, c = 3.5334 Å
α = 90.00°, β = 90.00°, γ = 90.00°
Fractional positions:
Cr 0.0000 0.0000 0.0000
Cr 0.0000 0.5000 0.5000
Al 0.5000 0.0000 0.5000
Pt 0.5000 0.5000 0.0000

Values from the calculation:
Total magnetic moment, Bohr magnetons per cell: 0.00
Calculated total energy, eV per atom: -7.53

---

Record 12
Entry from the Alexandria database: crystalline Li3Sn4Te8 at its relaxed geometry (PBE).

a = 8.4990 Å, b = 8.5611 Å, c = 8.5611 Å
α = 90.34°, β = 119.64°, γ = 119.64°
Fractional positions:
Li 0.5000 0.5000 0.0000
Li 0.5000 0.0000 0.5000
Li 0.5000 0.5000 0.5000
Sn 0.5000 0.0000 0.0000
Sn 0.0000 0.5000 0.0000
Sn 0.0000 0.0000 0.0000
Sn 0.0000 0.0000 0.5000
Te 0.4874 0.2435 0.2435
Te 0.0000 0.7495 0.2505
Te 0.0108 0.2595 0.2595
Te 0.5000 0.7461 0.2539
Te 0.5000 0.2539 0.7461
Te 0.9892 0.7405 0.7405
Te 0.0000 0.2505 0.7495
Te 0.5126 0.7565 0.7565

Values from the calculation:
Total magnetic moment, Bohr magnetons per cell: 0.00
Calculated total energy, eV per atom: -3.51
E_form (uncorrected), eV/atom: -0.385